Crystalline TbSi4Ir4 at its relaxed geometry. Source: Alexandria, functional PBE-GGA.

DOS(E_F): 5.64 states/eV per cell
DFT total energy: -7.480 eV/atom

Cell and atoms, written as CIF:
```
data_TbSi4Ir4
_cell_length_a 8.475
_cell_length_b 8.475
_cell_length_c 4.394
_cell_angle_alpha 90.00
_cell_angle_beta 90.00
_cell_angle_gamma 90.00
_symmetry_space_group_name_H-M 'I 4/m'
_symmetry_Int_Tables_number 87
_symmetry_space_group_name_Hall '-I 4'
loop_
_atom_site_label
_atom_site_type_symbol
_atom_site_fract_x
_atom_site_fract_y
_atom_site_fract_z
_atom_site_occupancy
Tb1 Tb 0.000 0.000 0.000 1
Si1 Si 0.181 0.302 0.500 1
Ir1 Ir 0.085 0.352 0.000 1
```